Entry 1:
Material: Pr5Nd4In
Method: DFT, PBE-GGA
State: optimized geometry

```
data_Pr5Nd4In
_cell_length_a 4.307
_cell_length_b 4.307
_cell_length_c 18.469
_cell_angle_alpha 90.00
_cell_angle_beta 90.00
_cell_angle_gamma 90.00
_symmetry_space_group_name_H-M 'P 1'
_symmetry_Int_Tables_number 1
_symmetry_space_group_name_Hall 'P 1'
loop_
_atom_site_label
_atom_site_fract_x
_atom_site_fract_y
_atom_site_fract_z
Nd1 0.000 0.000 0.398
Nd2 0.000 0.000 0.804
Pr1 0.500 0.500 0.088
Pr2 0.500 0.500 0.500
Pr3 0.500 0.500 0.294
Pr4 0.500 0.500 0.706
Nd3 0.000 0.000 0.196
Nd4 0.000 0.000 0.602
In1 0.000 0.000 0.000
Pr5 0.500 0.500 0.912
```

The space group is P4/mmm (123). For the relative energy among the computed polymorphs, the calculation gives 0 meV/atom.

---

Entry 2:
Material: Pr3Nd3In2
Method: DFT, PBE-GGA
State: optimized geometry

```
data_Pr3Nd3In2
_cell_length_a 5.424
_cell_length_b 6.758
_cell_length_c 15.964
_cell_angle_alpha 90.00
_cell_angle_beta 90.00
_cell_angle_gamma 113.66
_symmetry_space_group_name_H-M 'P 1'
_symmetry_Int_Tables_number 1
_symmetry_space_group_name_Hall 'P 1'
loop_
_atom_site_label
_atom_site_fract_x
_atom_site_fract_y
_atom_site_fract_z
Nd1 0.360 0.720 0.528
Nd2 0.547 0.094 0.750
Nd3 0.640 0.280 0.028
Nd4 0.640 0.280 0.472
Nd5 0.453 0.906 0.250
Pr1 0.268 0.537 0.750
In1 0.221 0.442 0.358
In2 0.779 0.558 0.642
Pr2 0.039 0.078 0.893
Pr3 0.732 0.463 0.250
Pr4 0.039 0.078 0.607
In3 0.221 0.442 0.142
Pr5 0.961 0.922 0.107
Pr6 0.961 0.922 0.393
Nd6 0.360 0.720 0.972
In4 0.779 0.558 0.858
```

The space group is Cmcm (63). For the relative energy among the computed polymorphs, the calculation gives 117 meV/atom.

---

Entry 3:
Material: Pr5NdIn2
Method: DFT, PBE-GGA
State: optimized geometry

```
data_Pr5NdIn2
_cell_length_a 3.753
_cell_length_b 8.661
_cell_length_c 8.661
_cell_angle_alpha 79.77
_cell_angle_beta 77.49
_cell_angle_gamma 77.49
_symmetry_space_group_name_H-M 'P 1'
_symmetry_Int_Tables_number 1
_symmetry_space_group_name_Hall 'P 1'
loop_
_atom_site_label
_atom_site_fract_x
_atom_site_fract_y
_atom_site_fract_z
Nd1 0.000 0.000 0.000
In1 0.727 0.773 0.773
In2 0.273 0.227 0.227
Pr1 0.360 0.420 0.860
Pr2 0.000 0.500 0.500
Pr3 0.640 0.140 0.580
Pr4 0.640 0.580 0.140
Pr5 0.360 0.860 0.420
```

The space group is Immm (71). For the relative energy among the computed polymorphs, the calculation gives 107 meV/atom.

---

Entry 4:
Material: Pr5Nd3In4
Method: DFT, PBE-GGA
State: optimized geometry

```
data_Pr5Nd3In4
_cell_length_a 5.917
_cell_length_b 16.247
_cell_length_c 5.355
_cell_angle_alpha 70.31
_cell_angle_beta 56.46
_cell_angle_gamma 79.51
_symmetry_space_group_name_H-M 'P 1'
_symmetry_Int_Tables_number 1
_symmetry_space_group_name_Hall 'P 1'
loop_
_atom_site_label
_atom_site_fract_x
_atom_site_fract_y
_atom_site_fract_z
Nd1 0.529 0.790 0.152
Nd2 0.471 0.210 0.848
In1 0.881 0.707 0.532
In2 0.175 0.861 0.788
Pr1 0.169 0.072 0.590
In3 0.825 0.139 0.212
Nd3 0.000 0.500 0.500
In4 0.119 0.293 0.468
Pr2 0.766 0.347 0.122
Pr3 0.500 0.500 0.500
Pr4 0.831 0.928 0.410
Pr5 0.234 0.653 0.878
```

The value obtained for the energy is -4.1803 eV per atom. The space group is C2/m (12).

---

Entry 5:
Material: Pr9Nd4In11
Method: DFT, PBE-GGA
State: optimized geometry

```
data_Pr9Nd4In11
_cell_length_a 3.614
_cell_length_b 14.206
_cell_length_c 14.206
_cell_angle_alpha 99.84
_cell_angle_beta 90.00
_cell_angle_gamma 90.00
_symmetry_space_group_name_H-M 'P 1'
_symmetry_Int_Tables_number 1
_symmetry_space_group_name_Hall 'P 1'
loop_
_atom_site_label
_atom_site_fract_x
_atom_site_fract_y
_atom_site_fract_z
Pr1 0.500 0.792 0.970
Pr2 0.500 0.208 0.030
Pr3 0.500 0.030 0.208
Nd1 0.500 0.261 0.429
In1 0.000 0.000 0.000
Pr4 0.500 0.856 0.378
In2 0.000 0.065 0.419
Pr5 0.500 0.144 0.622
Nd2 0.500 0.571 0.739
Pr6 0.500 0.378 0.856
In3 0.000 0.172 0.828
In4 0.000 0.233 0.233
Pr7 0.500 0.500 0.500
Nd3 0.500 0.429 0.261
In5 0.000 0.363 0.637
Pr8 0.500 0.970 0.792
In6 0.000 0.581 0.935
In7 0.000 0.767 0.767
In8 0.000 0.935 0.581
In9 0.000 0.419 0.065
Pr9 0.500 0.622 0.144
In10 0.000 0.828 0.172
Nd4 0.500 0.739 0.571
In11 0.000 0.637 0.363
```

The value obtained for the energy is -4.2561 eV per atom. The space group is Cmmm (65).

---

Entry 6:
Material: Pr3Nd2In
Method: DFT, PBE-GGA
State: optimized geometry

```
data_Pr3Nd2In
_cell_length_a 3.781
_cell_length_b 9.125
_cell_length_c 11.686
_cell_angle_alpha 90.03
_cell_angle_beta 90.00
_cell_angle_gamma 90.00
_symmetry_space_group_name_H-M 'P 1'
_symmetry_Int_Tables_number 1
_symmetry_space_group_name_Hall 'P 1'
loop_
_atom_site_label
_atom_site_fract_x
_atom_site_fract_y
_atom_site_fract_z
Nd1 0.750 0.645 0.572
In1 0.750 0.155 0.252
Pr1 0.250 0.905 0.396
Pr2 0.750 0.095 0.604
Nd2 0.750 0.091 0.895
Pr3 0.250 0.396 0.750
In2 0.250 0.845 0.748
Nd3 0.250 0.909 0.105
Pr4 0.250 0.351 0.072
Nd4 0.250 0.355 0.428
Pr5 0.750 0.649 0.928
Pr6 0.750 0.604 0.250
```

The space group is P2_1/m (11). For the relative energy among the computed polymorphs, the calculation gives 19 meV/atom.

---

Entry 7:
Material: Pr3Nd6In2
Method: DFT, PBE-GGA
State: optimized geometry

```
data_Pr3Nd6In2
_cell_length_a 4.686
_cell_length_b 4.686
_cell_length_c 18.272
_cell_angle_alpha 97.37
_cell_angle_beta 97.37
_cell_angle_gamma 90.00
_symmetry_space_group_name_H-M 'P 1'
_symmetry_Int_Tables_number 1
_symmetry_space_group_name_Hall 'P 1'
loop_
_atom_site_label
_atom_site_fract_x
_atom_site_fract_y
_atom_site_fract_z
Nd1 0.081 0.581 0.162
Nd2 0.729 0.729 0.458
Nd3 0.581 0.081 0.162
Pr1 0.168 0.168 0.336
Pr2 0.000 0.000 0.000
In1 0.358 0.358 0.715
Nd4 0.271 0.271 0.542
Nd5 0.419 0.919 0.838
Pr3 0.832 0.832 0.664
In2 0.642 0.642 0.285
Nd6 0.919 0.419 0.838
```

The value obtained for the energy is -4.3259 eV per atom. The space group is I4/mmm (139).

---

Entry 8:
Material: Pr2Nd4In
Method: DFT, PBE-GGA
State: optimized geometry

```
data_Pr2Nd4In
_cell_length_a 4.876
_cell_length_b 4.876
_cell_length_c 11.208
_cell_angle_alpha 90.00
_cell_angle_beta 90.00
_cell_angle_gamma 90.00
_symmetry_space_group_name_H-M 'P 1'
_symmetry_Int_Tables_number 1
_symmetry_space_group_name_Hall 'P 1'
loop_
_atom_site_label
_atom_site_fract_x
_atom_site_fract_y
_atom_site_fract_z
Nd1 0.743 0.257 0.772
Pr1 0.000 0.500 0.500
In1 0.000 0.000 0.000
Nd2 0.743 0.743 0.228
Nd3 0.257 0.257 0.228
Pr2 0.500 0.000 0.500
Nd4 0.257 0.743 0.772
```

The space group is P-42m (111). For the relative energy among the computed polymorphs, the calculation gives 8 meV/atom.